# 1
5
Lattice="4.843 0.000 0.000 0.000 4.843 0.000 0.000 0.000 4.627" Properties=species:S:1:pos:R:3 comment="Zn2GeBIr, optimized geometry, DFT PBE" sg="P4/mmm (123)" e_form_mev_per_atom=956 pbc="T T T"
Zn 0.000 2.422 0.000
Zn 2.422 0.000 0.000
Ge 0.000 0.000 2.313
B 2.422 2.422 2.313
Ir 0.000 0.000 0.000

***

# 2
3
Lattice="3.654 0.000 0.000 -1.827 3.164 0.000 0.000 0.000 5.583" Properties=species:S:1:pos:R:3 comment="ScAu2, optimized geometry, DFT PBE" sg="P-3m1 (164)" e_form_mev_per_atom=-480 pbc="T T T"
Sc 0.000 0.000 0.000
Au 0.000 2.109 3.779
Au 1.827 1.055 1.803

***

Result set for total magnetic moment: 0.00 0.00 μB per formula unit, one per record in the order listed.
Result set for E: -17.9 -14.3 eV for the cell shown, one per record in the order listed.